Entry 1:
This record from Alexandria via LeMat-Bulk describes PmSmTh2 after structural relaxation. The functional is PBE-GGA.

Offset from the most stable computed form (meV per atom): 51
Formation energy from the elements (kJ/mol of formula units): 31
Electronic total energy (eV for the cell shown): -23.99

Geometry as extended XYZ:
```
4
Lattice="-1.506 -3.235 0.068 0.330 -0.079 3.553 -9.358 4.376 0.968" Properties=species:S:1:pos:R:3 pbc="T T T"
Th -2.346 1.097 0.243
Th -7.011 3.279 0.725
Pm -0.588 -1.657 1.811
Sm -5.267 0.531 2.294
```

Entry 2:
This record from Alexandria via LeMat-Bulk describes Pm12Sm2Th after structural relaxation. The functional is PBE-GGA.

Formation energy from the elements (kJ/mol of formula units): 126
Electronic total energy (eV for the cell shown): -145.12

Geometry as extended XYZ:
```
30
Lattice="6.757 1.580 0.131 1.580 6.757 -0.131 0.731 -0.731 24.010" Properties=species:S:1:pos:R:3 pbc="T T T"
Pm 7.066 5.439 20.572
Pm 3.725 4.612 19.320
Pm 6.030 6.475 10.212
Pm 7.206 5.299 13.798
Pm 1.860 2.308 10.214
Pm 2.898 1.271 20.576
Pm 4.127 4.211 1.575
Pm 2.635 5.704 10.512
Pm 2.754 5.582 4.559
Pm 6.170 6.335 3.438
Pm 3.982 4.358 7.680
Pm 6.313 2.023 19.451
Pm 2.497 5.836 16.199
Pm 2.352 5.983 22.304
Pm 2.002 2.167 3.435
Pm 4.942 3.396 22.436
Pm 5.343 2.993 4.690
Pm 3.039 1.129 13.796
Pm 3.844 4.490 13.367
Pm 6.567 1.766 7.811
Pm 6.714 1.621 1.706
Pm 6.435 1.904 13.498
Pm 5.089 3.251 16.330
Pm 5.221 3.113 10.644
Sm 5.844 6.661 17.112
Sm 7.392 5.113 6.898
Sm 1.677 2.491 17.110
Sm 3.222 0.946 6.900
Th 3.378 0.790 0.066
Th 0.790 3.378 -0.066
```

Entry 3:
This record from Alexandria via LeMat-Bulk describes PmSmTh4 after structural relaxation. The functional is PBE-GGA.

Offset from the most stable computed form (meV per atom): 0
Formation energy from the elements (kJ/mol of formula units): 31
Electronic total energy (eV for the cell shown): -38.83

Geometry as extended XYZ:
```
6
Lattice="-4.800 -1.398 0.720 -0.417 -1.118 -4.949 4.702 -6.470 1.066" Properties=species:S:1:pos:R:3 pbc="T T T"
Th -1.087 -5.995 -1.172
Th 0.573 -2.991 -1.990
Th -2.035 -4.251 -4.104
Th 1.521 -4.736 0.942
Pm -2.608 -1.258 -2.114
Sm 0.000 0.000 0.000
```

Entry 4:
This record from Alexandria via LeMat-Bulk describes Pm7Sm12Th after structural relaxation. The functional is PBE-GGA.

Formation energy from the elements (kJ/mol of formula units): 453
Electronic total energy (eV for the cell shown): -92.60

Geometry as extended XYZ:
```
20
Lattice="8.628 1.042 1.564 -1.398 8.577 1.564 -1.398 -1.861 8.518" Properties=species:S:1:pos:R:3 pbc="T T T"
Pm 0.504 3.274 1.407
Pm 5.935 7.264 8.082
Pm 2.915 3.879 5.822
Pm 2.827 6.997 9.816
Pm -0.104 0.494 3.563
Pm 5.327 4.485 10.238
Pm 3.004 0.761 1.828
Sm 4.672 7.696 4.660
Sm -0.263 6.011 3.734
Sm 2.749 2.547 8.665
Sm 5.975 4.591 5.688
Sm 5.847 2.899 2.748
Sm 3.082 5.212 2.980
Sm 4.149 1.051 5.217
Sm 6.094 1.747 7.911
Sm 1.682 6.707 6.428
Sm -0.144 3.167 5.957
Sm -0.016 4.859 8.897
Sm 1.159 0.062 6.985
Th 0.000 0.000 0.000
```